No. 1
Below is Sm2Be3Si4Ni after structural relaxation, with properties calculated at the PBE level.

```
data_Sm2Be3Si4Ni
_cell_length_a 3.938
_cell_length_b 3.938
_cell_length_c 9.662
_cell_angle_alpha 90.00
_cell_angle_beta 90.00
_cell_angle_gamma 90.00
_space_group_name_H-M_alt 'P -4 m 2'
_space_group_IT_number 115
_space_group_name_Hall 'P -4 -2'
loop_
_atom_site_label
_atom_site_fract_x
_atom_site_fract_y
_atom_site_fract_z
_atom_site_occupancy
Sm1 0.000 0.500 0.249 1
Be1 0.000 0.000 0.000 1
Be2 0.000 0.500 0.633 1
Si1 0.000 0.000 0.500 1
Si2 0.000 0.500 0.872 1
Si3 0.500 0.500 0.500 1
Ni1 0.500 0.500 0.000 1
```

total magnetization: 0.0 μB/f.u.
V: 149.8 Å³/f.u.
calculated total energy: -53.19 eV/f.u.

***

No. 2
Below is Th2Zn3Ni12Ir after structural relaxation, with properties calculated at the PBE level.

```
data_Th2Zn3Ni12Ir
_cell_length_a 6.0493
_cell_length_b 6.0493
_cell_length_c 25.8795
_cell_angle_alpha 90.00
_cell_angle_beta 90.00
_cell_angle_gamma 120.00
_space_group_name_H-M_alt 'R -3 m'
_space_group_IT_number 166
_space_group_name_Hall '-R 3 2"'
loop_
_atom_site_label
_atom_site_fract_x
_atom_site_fract_y
_atom_site_fract_z
_atom_site_occupancy
Th1 0.0000 0.0000 0.1395 1
Zn1 0.0000 0.5000 0.0000 1
Ni1 0.0339 0.5169 0.8958 1
Ni2 0.0750 0.5375 0.6207 1
Ir1 0.0000 0.0000 0.5000 1
```

total magnetization: 0.0 μB/f.u.
V: 273.4 Å³/f.u.
calculated total energy: -96.01 eV/f.u.

***

Question: What is the total magnetization in the first record?
Answer: 0.0 μB/f.u.

***

Question: Among the records above, which one has the highest calculated total energy?
Answer: Sm2Be3Si4Ni

***

Please write out number 2 again, unchanged.
Below is Th2Zn3Ni12Ir after structural relaxation, with properties calculated at the PBE level.

```
data_Th2Zn3Ni12Ir
_cell_length_a 6.0493
_cell_length_b 6.0493
_cell_length_c 25.8795
_cell_angle_alpha 90.00
_cell_angle_beta 90.00
_cell_angle_gamma 120.00
_space_group_name_H-M_alt 'R -3 m'
_space_group_IT_number 166
_space_group_name_Hall '-R 3 2"'
loop_
_atom_site_label
_atom_site_fract_x
_atom_site_fract_y
_atom_site_fract_z
_atom_site_occupancy
Th1 0.0000 0.0000 0.1395 1
Zn1 0.0000 0.5000 0.0000 1
Ni1 0.0339 0.5169 0.8958 1
Ni2 0.0750 0.5375 0.6207 1
Ir1 0.0000 0.0000 0.5000 1
```

total magnetization: 0.0 μB/f.u.
V: 273.4 Å³/f.u.
calculated total energy: -96.01 eV/f.u.

***

Question: What is the V in the second record?
Answer: 273.4 Å³/f.u.